An optimized crystal structure of KHg2P, computed with GGA-PBE.

Lattice parameters (Å, degrees): 5.3383 4.3808 5.8592 90.00 107.00 90.00
Space group P2/m (No. 10)
Inequivalent atoms, fractional coordinates:
K1 0.0000 0.0000 0.0000 (multiplicity 1)
Hg1 0.4428 0.5000 0.7449 (multiplicity 2)
P1 0.5000 0.0000 0.5000 (multiplicity 1)

Summary:
ΔH_f (0 K) = -0.04 eV/atom
M_tot = 0.0 μB/f.u.

---

An optimized crystal structure of CuSeOF2, computed with GGA-PBE.

Lattice parameters (Å, degrees): 4.4548 4.4548 3.7603 90.00 90.00 90.00
Space group P4/mmm (No. 123)
Inequivalent atoms, fractional coordinates:
Cu1 0.0000 0.0000 0.0000 (multiplicity 1)
Se1 0.5000 0.5000 0.5000 (multiplicity 1)
O1 0.5000 0.5000 0.0000 (multiplicity 1)
F1 0.0000 0.5000 0.5000 (multiplicity 2)

Summary:
energy relative to the lowest polymorph listed for this composition = 0.000 eV/atom
M_tot = 0.0 μB/f.u.
ΔE_f (raw) = -0.40 eV/atom

---

An optimized crystal structure of Pr3MnPd12, computed with GGA-PBE.

Lattice parameters (Å, degrees): 4.1766 4.1766 16.3969 90.00 90.00 90.00
Space group P4/mmm (No. 123)
Inequivalent atoms, fractional coordinates:
Pr1 0.0000 0.0000 0.0000 (multiplicity 1)
Pr2 0.0000 0.0000 0.2604 (multiplicity 2)
Mn1 0.0000 0.0000 0.5000 (multiplicity 1)
Pd1 0.0000 0.5000 0.1298 (multiplicity 4)
Pd2 0.0000 0.5000 0.3907 (multiplicity 4)
Pd3 0.5000 0.5000 0.0000 (multiplicity 1)
Pd4 0.5000 0.5000 0.2597 (multiplicity 2)
Pd5 0.5000 0.5000 0.5000 (multiplicity 1)

Summary:
ΔH_f (0 K) = -0.59 eV/atom
M_tot = 4.1 μB/f.u.

---

An optimized crystal structure of HoNpPt6, computed with GGA-PBE.

Lattice parameters (Å, degrees): 4.1308 4.1308 8.2632 90.00 90.00 90.00
Space group P4/mmm (No. 123)
Inequivalent atoms, fractional coordinates:
Ho1 0.0000 0.0000 0.0000 (multiplicity 1)
Np1 0.0000 0.0000 0.5000 (multiplicity 1)
Pt1 0.0000 0.5000 0.2521 (multiplicity 4)
Pt2 0.5000 0.5000 0.0000 (multiplicity 1)
Pt3 0.5000 0.5000 0.5000 (multiplicity 1)

Summary:
ΔH_f (0 K) = -0.85 eV/atom
M_tot = 2.7 μB/f.u.

---

An optimized crystal structure of Hf2SbH2, computed with GGA-PBE.

Lattice parameters (Å, degrees): 4.2158 4.2158 8.7734 90.00 90.00 90.00
Space group I4/mmm (No. 139)
Inequivalent atoms, fractional coordinates:
Hf1 0.0000 0.5000 0.2500 (multiplicity 4)
Sb1 0.0000 0.0000 0.0000 (multiplicity 2)
H1 0.0000 0.0000 0.3215 (multiplicity 4)

Summary:
energy relative to the lowest polymorph listed for this composition = 0.000 eV/atom
M_tot = 0.0 μB/f.u.

---

An optimized crystal structure of FeCuS2, computed with GGA-PBE.

Lattice parameters (Å, degrees): 5.2804 5.2804 10.3596 90.00 90.00 90.00
Space group I-42d (No. 122)
Inequivalent atoms, fractional coordinates:
Fe1 0.0000 0.0000 0.0000 (multiplicity 4)
Cu1 0.0000 0.0000 0.5000 (multiplicity 4)
S1 0.2463 0.7500 0.1250 (multiplicity 8)

Summary:
M_tot = 3.6 μB/f.u.
ΔE_f (raw) = -0.27 eV/atom

---

What did the fifth record say?
An optimized crystal structure of Hf2SbH2, computed with GGA-PBE.

Lattice parameters (Å, degrees): 4.2158 4.2158 8.7734 90.00 90.00 90.00
Space group I4/mmm (No. 139)
Inequivalent atoms, fractional coordinates:
Hf1 0.0000 0.5000 0.2500 (multiplicity 4)
Sb1 0.0000 0.0000 0.0000 (multiplicity 2)
H1 0.0000 0.0000 0.3215 (multiplicity 4)

Summary:
energy relative to the lowest polymorph listed for this composition = 0.000 eV/atom
M_tot = 0.0 μB/f.u.